GaCuTe2Ru after structural relaxation, computed with PBE.

Unit cell a=5.3247 b=4.3753 c=5.3247 alpha=90.00 beta=90.00 gamma=90.00
Last column: nearest neighbours and their distance in Å.
Element x y z (fractional)
Ga 0.0000 0.0000 0.0000  2 Cu 2.19
Ru 0.5000 0.5000 0.5000  8 Te 3.45, 4 Cu 3.77
Te 0.0000 0.0000 0.5000  2 Ga 2.66
Te 0.5000 0.0000 0.0000  2 Ga 2.66
Cu 0.0000 0.5000 0.0000  2 Ga 2.19

TmGa4CuRu2 after structural relaxation, computed with PBE.

Unit cell a=4.2466 b=4.2466 c=8.6914 alpha=75.86 beta=75.86 gamma=60.00
Last column: nearest neighbours and their distance in Å.
Element x y z (fractional)
Cu 0.5000 0.5000 0.5000  8 Ga 2.59-2.63
Ru 0.2323 0.2323 0.3031  7 Ga 2.55-2.63
Ru 0.7677 0.7677 0.6969  7 Ga 2.55-2.63
Tm 0.0000 0.0000 0.0000  8 Ga 2.92-3.22
Ga 0.3965 0.3965 0.8106  1 Cu 2.59, 3 Ru 2.63
Ga 0.1288 0.1288 0.6136  4 Ru 2.55-2.59, 3 Cu 2.63
Ga 0.6035 0.6035 0.1894  1 Cu 2.59, 3 Ru 2.63
Ga 0.8712 0.8712 0.3864  4 Ru 2.55-2.59, 3 Cu 2.63

The energy relative to the elements comes out at -0.319 eV per atom.

Tm4GaCu2Ru after structural relaxation, computed with PBE.

Unit cell a=4.8558 b=4.8558 c=8.4187 alpha=73.24 beta=73.24 gamma=60.00
Last column: nearest neighbours and their distance in Å.
Element x y z (fractional)
Ru 0.5000 0.5000 0.5000  8 Tm 2.85-2.94
Tm 0.8711 0.8711 0.3867  3 Ru 2.94, 4 Cu 2.95-3.03, 1 Ga 3.07
Tm 0.6199 0.6199 0.1404  1 Ru 2.85, 4 Cu 2.92-3.03, 3 Ga 3.02
Tm 0.1289 0.1289 0.6133  3 Ru 2.94, 4 Cu 2.95-3.03, 1 Ga 3.07
Tm 0.3801 0.3801 0.8596  1 Ru 2.85, 4 Cu 2.92-3.03, 3 Ga 3.02
Cu 0.2530 0.2530 0.2411  8 Tm 2.92-3.03
Cu 0.7470 0.7470 0.7589  8 Tm 2.92-3.03
Ga 0.0000 0.0000 0.0000  8 Tm 3.02-3.07

The energy relative to the elements comes out at -0.447 eV per atom.

Tm2Ga4Cu3Ru after structural relaxation, computed with PBE.

Unit cell a=3.9942 b=3.9942 c=10.6597 alpha=90.00 beta=90.00 gamma=90.00
Last column: nearest neighbours and their distance in Å.
Element x y z (fractional)
Ga 0.5000 0.0000 0.6374  3 Cu 2.38-2.48, 2 Ru 2.48
Ga 0.5000 0.5000 0.0000  4 Cu 2.49
Ga 0.0000 0.0000 0.0000  4 Cu 2.49
Ga 0.0000 0.5000 0.3626  3 Cu 2.38-2.48, 2 Ru 2.48
Tm 0.0000 0.5000 0.7509  6 Cu 3.06-3.34, 8 Ga 3.07-3.32, 2 Ru 3.34
Tm 0.5000 0.0000 0.2491  6 Cu 3.06-3.34, 8 Ga 3.07-3.32, 2 Ru 3.34
Cu 0.0000 0.0000 0.5000  4 Ga 2.48
Cu 0.0000 0.5000 0.1389  5 Ga 2.38-2.49
Cu 0.5000 0.0000 0.8611  5 Ga 2.38-2.49
Ru 0.5000 0.5000 0.5000  4 Ga 2.48

The energy relative to the elements comes out at -0.424 eV per atom.

UGaCuRu after structural relaxation, computed with PBE.

Unit cell a=4.5826 b=4.5826 c=4.5826 alpha=60.00 beta=60.00 gamma=60.00
Last column: nearest neighbours and their distance in Å.
Element x y z (fractional)
Ru 0.2500 0.2500 0.2500  4 U 2.81, 4 Ga 2.81
Cu 0.7500 0.7500 0.7500  4 U 2.81, 4 Ga 2.81
U 0.5000 0.5000 0.5000  4 Ru 2.81, 4 Cu 2.81
Ga 0.0000 0.0000 0.0000  4 Cu 2.81, 4 Ru 2.81

The energy relative to the elements comes out at -0.023 eV per atom.

VGaCuRu after structural relaxation, computed with PBE.

Unit cell a=4.2434 b=4.2434 c=4.2434 alpha=60.00 beta=60.00 gamma=60.00
Last column: nearest neighbours and their distance in Å.
Element x y z (fractional)
Cu 0.2500 0.2500 0.2500  4 Ga 2.60, 4 V 2.60
Ru 0.7500 0.7500 0.7500  4 V 2.60, 4 Ga 2.60
Ga 0.0000 0.0000 0.0000  4 Ru 2.60, 4 Cu 2.60
V 0.5000 0.5000 0.5000  4 Cu 2.60, 4 Ru 2.60

The energy relative to the elements comes out at -0.157 eV per atom.

Y2Ga4Cu3Ru after structural relaxation, computed with PBE.

Unit cell a=4.0465 b=4.0465 c=10.6071 alpha=90.00 beta=90.00 gamma=90.00
Last column: nearest neighbours and their distance in Å.
Element x y z (fractional)
Y 0.5000 0.0000 0.2476  6 Cu 3.09-3.36, 8 Ga 3.12-3.32, 2 Ru 3.36
Y 0.0000 0.5000 0.7524  6 Cu 3.09-3.36, 8 Ga 3.12-3.32, 2 Ru 3.36
Ga 0.5000 0.0000 0.6360  3 Cu 2.41-2.48, 2 Ru 2.48
Ga 0.0000 0.0000 0.0000  4 Cu 2.49
Ga 0.5000 0.5000 0.0000  4 Cu 2.49
Ga 0.0000 0.5000 0.3640  3 Cu 2.41-2.48, 2 Ru 2.48
Cu 0.0000 0.0000 0.5000  4 Ga 2.48
Cu 0.5000 0.0000 0.8633  5 Ga 2.41-2.49
Cu 0.0000 0.5000 0.1367  5 Ga 2.41-2.49
Ru 0.5000 0.5000 0.5000  4 Ga 2.48

The energy relative to the elements comes out at -0.447 eV per atom.

ZnGaCuRu after structural relaxation, computed with PBE.

Unit cell a=3.1809 b=4.0726 c=4.1975 alpha=90.00 beta=90.00 gamma=90.00
Last column: nearest neighbours and their distance in Å.
Element x y z (fractional)
Ga 0.5000 0.5000 0.0000  4 Ru 2.58, 4 Cu 2.63
Cu 0.0000 0.5000 0.5000  4 Zn 2.58, 4 Ga 2.63
Zn 0.5000 0.0000 0.5000  4 Cu 2.58, 4 Ru 2.63
Ru 0.0000 0.0000 0.0000  4 Ga 2.58, 4 Zn 2.63

The energy relative to the elements comes out at -0.192 eV per atom.

Ga3CuS after structural relaxation, computed with PBE.

Unit cell a=4.8472 b=4.8472 c=4.8472 alpha=90.00 beta=90.00 gamma=90.00
Last column: nearest neighbours and their distance in Å.
Element x y z (fractional)
Ga 0.0000 0.5000 0.0000  2 S 2.42
Ga 0.5000 0.0000 0.0000  2 S 2.42
Ga 0.0000 0.0000 0.5000  2 S 2.42
S 0.0000 0.0000 0.0000  6 Ga 2.42
Cu 0.5000 0.5000 0.5000  12 Ga 3.43

Its distance to the lowest polymorph of the same formula is 0.526 eV/atom.

GaCu3S4 after structural relaxation, computed with PBE.

Unit cell a=5.2628 b=5.2628 c=6.4944 alpha=113.90 beta=113.90 gamma=90.00
Last column: nearest neighbours and their distance in Å.
Element x y z (fractional)
Cu 0.5000 0.5000 0.0000  4 S 2.28
Cu 0.7500 0.2500 0.5000  4 S 2.28
Cu 0.2500 0.7500 0.5000  4 S 2.28
S 0.6208 0.1266 0.7474  3 Cu 2.28, 1 Ga 2.31
S 0.8734 0.8734 0.2526  3 Cu 2.28, 1 Ga 2.31
S 0.1266 0.6208 0.7474  3 Cu 2.28, 1 Ga 2.31
S 0.3792 0.3792 0.2526  3 Cu 2.28, 1 Ga 2.31
Ga 0.0000 0.0000 0.0000  4 S 2.31

Ga2CuS4 after structural relaxation, computed with PBE.

Unit cell a=6.2271 b=5.2588 c=5.2588 alpha=90.00 beta=90.00 gamma=90.00
Last column: nearest neighbours and their distance in Å.
Element x y z (fractional)
S 0.2280 0.2510 0.7490  2 Ga 2.34, 1 Cu 2.34
S 0.7720 0.2510 0.2510  2 Ga 2.34, 1 Cu 2.34
S 0.2280 0.7490 0.2510  2 Ga 2.34, 1 Cu 2.34
S 0.7720 0.7490 0.7490  2 Ga 2.34, 1 Cu 2.34
Ga 0.0000 0.0000 0.5000  4 S 2.34
Ga 0.0000 0.5000 0.0000  4 S 2.34
Cu 0.0000 0.0000 0.0000  4 S 2.34

Its distance to the lowest polymorph of the same formula is 0.153 eV/atom.

Ga6CuS8 after structural relaxation, computed with PBE.

Unit cell a=7.0601 b=7.0601 c=7.0601 alpha=97.90 beta=97.90 gamma=97.90
Last column: nearest neighbours and their distance in Å.
Element x y z (fractional)
S 0.2046 0.2046 0.2046  1 Cu 2.13
S 0.6749 0.3900 0.1615  4 Ga 2.37-2.62
S 0.3900 0.1615 0.6749  4 Ga 2.37-2.62
S 0.1615 0.6749 0.3900  4 Ga 2.37-2.62
S 0.8385 0.3251 0.6100  4 Ga 2.37-2.62
S 0.6100 0.8385 0.3251  4 Ga 2.37-2.62
S 0.3251 0.6100 0.8385  4 Ga 2.37-2.62
S 0.7954 0.7954 0.7954  1 Cu 2.13
Cu 0.0000 0.0000 0.0000  2 S 2.13
Ga 0.5321 0.1557 0.3620  5 S 2.37-2.62
Ga 0.1557 0.3620 0.5321  5 S 2.37-2.62
Ga 0.8443 0.6380 0.4679  5 S 2.37-2.62
Ga 0.4679 0.8443 0.6380  5 S 2.37-2.62
Ga 0.6380 0.4679 0.8443  5 S 2.37-2.62
Ga 0.3620 0.5321 0.1557  5 S 2.37-2.62

no.,uncorrected energy (eV per cell),total magnetic moment (Bohr magnetons per cell)
1,-17.18,2.375
2,-41.78,0.000
3,-41.95,0.000
4,-46.85,0.000
5,-27.78,1.538
6,-26.15,0.636
7,-51.07,0.000
8,-18.44,0.000
9,-14.37,0.000
10,-35.04,0.000
11,-29.12,0.357
12,-59.51,0.000